The following is a DFT calculation (GGA-PBE) of crystalline NbCoAs2 at its relaxed geometry.

Computed properties:
SG: I-42d
E, eV/atom: -6.45
Energy of formation, meV per atom: 173

Geometry as extended XYZ:
```
8
Lattice="-2.891 2.891 4.976 2.891 -2.891 4.976 2.891 2.891 -4.976" Properties=species:S:1:pos:R:3 pbc="T T T"
Nb 0.000 0.000 0.000
Nb 0.000 2.891 2.488
Co 2.891 0.000 2.488
Co 0.000 0.000 4.976
As 1.445 -1.221 3.732
As 1.669 1.445 1.244
As 1.445 4.112 -1.244
As 1.221 1.445 6.220
```